Crystalline Li5Tc at its relaxed geometry. Source: Alexandria, functional PBEsol.

abc: 4.833 14.599 2.516
angles: 90.00 90.00 90.00
Space group Cmmm (No. 65)
Unique sites:
Li 0.000 0.000 0.000 [2 per cell]
Li 0.000 0.152 0.500 [4 per cell]
Li 0.000 0.338 0.000 [4 per cell]
Tc 0.000 0.500 0.500 [2 per cell]

Values from the calculation:
energy above the most stable polymorph in this dataset = 0.00 kJ per mole of atoms
formation energy from the elements = 27 kJ per mole of atoms

=====

Crystalline Li2TcTe at its relaxed geometry. Source: Alexandria, functional PBEsol.

abc: 3.863 3.863 7.851
angles: 90.00 90.00 90.00
Space group I-4m2 (No. 119)
Unique sites:
Li 0.000 0.000 0.000 [2 per cell]
Li 0.000 0.500 0.250 [2 per cell]
Tc 0.000 0.000 0.500 [2 per cell]
Te 0.000 0.500 0.750 [2 per cell]

Values from the calculation:
electronic total energy = -4.764 eV/atom

=====

Crystalline LiTc2Te at its relaxed geometry. Source: Alexandria, functional PBEsol.

abc: 6.204 6.204 6.204
angles: 90.00 90.00 90.00
Space group F-43m (No. 216)
Unique sites:
Li 0.000 0.000 0.000 [4 per cell]
Tc 0.000 0.000 0.500 [4 per cell]
Tc 0.250 0.250 0.750 [4 per cell]
Te 0.250 0.250 0.250 [4 per cell]

Values from the calculation:
electronic total energy = -6.799 eV/atom

=====

Crystalline LiTcTe3 at its relaxed geometry. Source: Alexandria, functional PBEsol.

abc: 5.234 5.234 5.234
angles: 90.00 90.00 90.00
Space group Pm-3m (No. 221)
Unique sites:
Li 0.000 0.000 0.000 [1 per cell]
Tc 0.500 0.500 0.500 [1 per cell]
Te 0.000 0.500 0.500 [3 per cell]

Values from the calculation:
electronic total energy = -4.479 eV/atom

=====

Crystalline LiTc3Te at its relaxed geometry. Source: Alexandria, functional PBEsol.

abc: 4.812 4.812 4.812
angles: 90.00 90.00 90.00
Space group Pm-3m (No. 221)
Unique sites:
Li 0.000 0.000 0.000 [1 per cell]
Tc 0.000 0.500 0.500 [3 per cell]
Te 0.500 0.500 0.500 [1 per cell]

Values from the calculation:
electronic total energy = -6.035 eV/atom

=====

Crystalline Li2TcTe at its relaxed geometry. Source: Alexandria, functional PBEsol.

abc: 3.515 3.515 5.174
angles: 90.00 90.00 90.00
Space group P4/mmm (No. 123)
Unique sites:
Li 0.000 0.000 0.234 [2 per cell]
Tc 0.500 0.500 0.000 [1 per cell]
Te 0.500 0.500 0.500 [1 per cell]

Values from the calculation:
electronic total energy = -4.517 eV/atom

=====

Crystalline LiTc2Te at its relaxed geometry. Source: Alexandria, functional PBEsol.

abc: 5.215 8.678 2.997
angles: 90.00 113.85 90.00
Space group C2/m (No. 12)
Unique sites:
Li 0.000 0.000 0.000 [2 per cell]
Tc 0.250 0.250 0.500 [4 per cell]
Te 0.000 0.500 0.000 [2 per cell]

Values from the calculation:
electronic total energy = -6.507 eV/atom

=====

Crystalline LiTcTe2 at its relaxed geometry. Source: Alexandria, functional PBEsol.

abc: 8.524 3.369 6.484
angles: 90.00 105.47 90.00
Space group Cm (No. 8)
Unique sites:
Li 0.000 0.000 0.000 [2 per cell]
Tc 0.080 0.000 0.463 [2 per cell]
Te 0.174 0.500 0.785 [2 per cell]
Te 0.340 0.000 0.333 [2 per cell]

Values from the calculation:
electronic total energy = -5.233 eV/atom

=====

Crystalline Li2TcTe at its relaxed geometry. Source: Alexandria, functional PBEsol.

abc: 3.2213 3.2213 25.5510
angles: 90.00 90.00 120.00
Space group R3m (No. 160, hexagonal axes)
Unique sites:
Li 0.0000 0.0000 0.0000 [3 per cell]
Li 0.0000 0.0000 0.2403 [3 per cell]
Tc 0.0000 0.0000 0.7452 [3 per cell]
Te 0.0000 0.0000 0.4822 [3 per cell]

Values from the calculation:
electronic total energy = -4.466 eV/atom

=====

Crystalline LiTcTe at its relaxed geometry. Source: Alexandria, functional PBEsol.

abc: 4.4028 4.4028 3.1734
angles: 90.00 90.00 120.00
Space group P-6m2 (No. 187)
Unique sites:
Li 0.0000 0.0000 0.0000 [1 per cell]
Tc 0.6667 0.3333 0.5000 [1 per cell]
Te 0.3333 0.6667 0.5000 [1 per cell]

Values from the calculation:
electronic total energy = -5.391 eV/atom

=====

Crystalline LiTlTc at its relaxed geometry. Source: Alexandria, functional PBEsol.

abc: 2.9138 2.9138 7.0820
angles: 90.00 90.00 120.00
Space group P3m1 (No. 156)
Unique sites:
Li 0.0000 0.0000 0.0000 [1 per cell]
Tl 0.3333 0.6667 0.3464 [1 per cell]
Tc 0.6667 0.3333 0.6869 [1 per cell]

Values from the calculation:
energy above the most stable polymorph in this dataset = 1.09 kJ per mole of atoms
formation energy from the elements = 51 kJ per mole of atoms

=====

Crystalline Li3TlTc at its relaxed geometry. Source: Alexandria, functional PBEsol.

abc: 4.764 4.764 4.764
angles: 90.00 90.00 90.00
Space group Pm-3m (No. 221)
Unique sites:
Li 0.000 0.000 0.500 [3 per cell]
Tl 0.000 0.000 0.000 [1 per cell]
Tc 0.500 0.500 0.500 [1 per cell]

Values from the calculation:
formation energy from the elements = 106 kJ per mole of atoms

=====

Crystalline LiTlTc at its relaxed geometry. Source: Alexandria, functional PBEsol.

abc: 2.763 4.238 8.456
angles: 90.00 90.00 90.00
Space group Imm2 (No. 44)
Unique sites:
Li 0.000 0.000 0.000 [2 per cell]
Tl 0.000 0.000 0.331 [2 per cell]
Tc 0.000 0.000 0.663 [2 per cell]

Values from the calculation:
energy above the most stable polymorph in this dataset = 0.00 kJ per mole of atoms
formation energy from the elements = 50 kJ per mole of atoms

=====

Crystalline LiTlTc at its relaxed geometry. Source: Alexandria, functional PBEsol.

abc: 6.320 6.320 6.320
angles: 90.00 90.00 90.00
Space group F-43m (No. 216)
Unique sites:
Li 0.000 0.000 0.000 [4 per cell]
Tl 0.000 0.000 0.500 [4 per cell]
Tc 0.250 0.250 0.250 [4 per cell]

Values from the calculation:
energy above the most stable polymorph in this dataset = 47.00 kJ per mole of atoms
formation energy from the elements = 97 kJ per mole of atoms

=====

Crystalline LiTm2Tc at its relaxed geometry. Source: Alexandria, functional PBEsol.

abc: 6.777 6.777 6.777
angles: 90.00 90.00 90.00
Space group Fm-3m (No. 225)
Unique sites:
Li 0.000 0.000 0.000 [4 per cell]
Tm 0.250 0.250 0.250 [8 per cell]
Tc 0.000 0.000 0.500 [4 per cell]

Values from the calculation:
formation energy from the elements = -4 kJ per mole of atoms

=====

Crystalline LiTcW at its relaxed geometry. Source: Alexandria, functional PBEsol.

abc: 2.7042 2.7042 7.1172
angles: 90.00 90.00 120.00
Space group P3m1 (No. 156)
Unique sites:
Li 0.0000 0.0000 0.0000 [1 per cell]
Tc 0.6667 0.3333 0.6671 [1 per cell]
W 0.3333 0.6667 0.3506 [1 per cell]

Values from the calculation:
energy above the most stable polymorph in this dataset = 8.22 kJ per mole of atoms
formation energy from the elements = 40 kJ per mole of atoms

=====

Crystalline LiTc2W at its relaxed geometry. Source: Alexandria, functional PBEsol.

abc: 3.040 4.388 8.368
angles: 90.00 90.00 90.00
Space group Immm (No. 71)
Unique sites:
Li 0.000 0.000 0.000 [2 per cell]
Tc 0.000 0.500 0.242 [4 per cell]
W 0.000 0.000 0.500 [2 per cell]

Values from the calculation:
energy above the most stable polymorph in this dataset = 7.79 kJ per mole of atoms
formation energy from the elements = 28 kJ per mole of atoms

=====

Crystalline LiTcW2 at its relaxed geometry. Source: Alexandria, functional PBEsol.

abc: 3.174 3.174 5.586
angles: 90.00 90.00 90.00
Space group P4mm (No. 99)
Unique sites:
Li 0.000 0.000 0.000 [1 per cell]
Tc 0.500 0.500 0.222 [1 per cell]
W 0.000 0.000 0.489 [1 per cell]
W 0.500 0.500 0.764 [1 per cell]

Values from the calculation:
energy above the most stable polymorph in this dataset = 0.00 kJ per mole of atoms
formation energy from the elements = 40 kJ per mole of atoms

=====

Crystalline LiTcW2 at its relaxed geometry. Source: Alexandria, functional PBEsol.

abc: 6.101 6.101 6.101
angles: 90.00 90.00 90.00
Space group Fm-3m (No. 225)
Unique sites:
Li 0.000 0.000 0.000 [4 per cell]
Tc 0.000 0.000 0.500 [4 per cell]
W 0.250 0.250 0.250 [8 per cell]

Values from the calculation:
energy above the most stable polymorph in this dataset = 1.05 kJ per mole of atoms
formation energy from the elements = 41 kJ per mole of atoms

=====

Crystalline LiTcW2 at its relaxed geometry. Source: Alexandria, functional PBEsol.

abc: 2.709 2.709 8.489
angles: 90.00 90.00 90.00
Space group P4/mmm (No. 123)
Unique sites:
Li 0.000 0.000 0.000 [1 per cell]
Tc 0.000 0.000 0.500 [1 per cell]
W 0.500 0.500 0.273 [2 per cell]

Values from the calculation:
energy above the most stable polymorph in this dataset = 13.96 kJ per mole of atoms
formation energy from the elements = 54 kJ per mole of atoms

=====

Crystalline LiTcW2 at its relaxed geometry. Source: Alexandria, functional PBEsol.

abc: 5.316 8.261 2.653
angles: 90.00 90.00 90.00
Space group Cmmm (No. 65)
Unique sites:
Li 0.000 0.000 0.000 [2 per cell]
Tc 0.000 0.500 0.000 [2 per cell]
W 0.250 0.250 0.500 [4 per cell]

Values from the calculation:
energy above the most stable polymorph in this dataset = 5.49 kJ per mole of atoms
formation energy from the elements = 46 kJ per mole of atoms

=====

Crystalline LiTc2W at its relaxed geometry. Source: Alexandria, functional PBEsol.

abc: 6.030 6.030 6.030
angles: 90.00 90.00 90.00
Space group Fm-3m (No. 225)
Unique sites:
Li 0.000 0.000 0.000 [4 per cell]
Tc 0.250 0.250 0.250 [8 per cell]
W 0.000 0.000 0.500 [4 per cell]

Values from the calculation:
energy above the most stable polymorph in this dataset = 0.00 kJ per mole of atoms
formation energy from the elements = 20 kJ per mole of atoms

=====

Crystalline LiTcW at its relaxed geometry. Source: Alexandria, functional PBEsol.

abc: 2.985 4.340 13.795
angles: 90.00 90.00 90.00
Space group Fmm2 (No. 42)
Unique sites:
Li 0.000 0.000 0.000 [4 per cell]
Tc 0.000 0.000 0.334 [4 per cell]
W 0.000 0.000 0.676 [4 per cell]

Values from the calculation:
energy above the most stable polymorph in this dataset = 0.00 kJ per mole of atoms
formation energy from the elements = 32 kJ per mole of atoms

=====

Crystalline LiTcW2 at its relaxed geometry. Source: Alexandria, functional PBEsol.

abc: 2.590 4.261 5.299
angles: 90.00 90.00 90.00
Space group Pmmm (No. 47)
Unique sites:
Li 0.000 0.000 0.000 [1 per cell]
Tc 0.000 0.000 0.500 [1 per cell]
W 0.500 0.500 0.249 [2 per cell]

Values from the calculation:
energy above the most stable polymorph in this dataset = 5.15 kJ per mole of atoms
formation energy from the elements = 45 kJ per mole of atoms

=====

Crystalline LiYTc2 at its relaxed geometry. Source: Alexandria, functional PBEsol.

abc: 6.357 6.357 6.357
angles: 90.00 90.00 90.00
Space group F-43m (No. 216)
Unique sites:
Li 0.000 0.000 0.000 [4 per cell]
Y 0.250 0.250 0.750 [4 per cell]
Tc 0.000 0.000 0.500 [4 per cell]
Tc 0.250 0.250 0.250 [4 per cell]

Values from the calculation:
energy above the most stable polymorph in this dataset = 0.00 kJ per mole of atoms
formation energy from the elements = 21 kJ per mole of atoms

=====

Crystalline Li2YTc at its relaxed geometry. Source: Alexandria, functional PBEsol.

abc: 3.391 4.834 8.304
angles: 90.00 90.00 90.00
Space group Imm2 (No. 44)
Unique sites:
Li 0.000 0.000 0.000 [2 per cell]
Li 0.000 0.500 0.275 [2 per cell]
Y 0.000 0.500 0.778 [2 per cell]
Tc 0.000 0.000 0.537 [2 per cell]

Values from the calculation:
formation energy from the elements = 42 kJ per mole of atoms

=====

Crystalline LiYTc2 at its relaxed geometry. Source: Alexandria, functional PBEsol.

abc: 3.374 4.126 9.349
angles: 90.00 90.00 90.00
Space group Immm (No. 71)
Unique sites:
Li 0.000 0.000 0.000 [2 per cell]
Y 0.000 0.000 0.500 [2 per cell]
Tc 0.000 0.500 0.253 [4 per cell]

Values from the calculation:
energy above the most stable polymorph in this dataset = 12.37 kJ per mole of atoms
formation energy from the elements = 33 kJ per mole of atoms

=====

Crystalline LiZnTc2 at its relaxed geometry. Source: Alexandria, functional PBEsol.

abc: 2.6411 2.6411 27.5531
angles: 90.00 90.00 120.00
Space group R-3m (No. 166, hexagonal axes)
Unique sites:
Li 0.0000 0.0000 0.0000 [3 per cell]
Zn 0.0000 0.0000 0.5000 [3 per cell]
Tc 0.0000 0.0000 0.2479 [6 per cell]

Values from the calculation:
formation energy from the elements = 26 kJ per mole of atoms

=====

Crystalline LiZr2Tc at its relaxed geometry. Source: Alexandria, functional PBEsol.

abc: 4.574 4.574 3.316
angles: 90.00 90.00 90.00
Space group P4/mmm (No. 123)
Unique sites:
Li 0.000 0.000 0.000 [1 per cell]
Zr 0.000 0.500 0.500 [2 per cell]
Tc 0.500 0.500 0.000 [1 per cell]

Values from the calculation:
energy above the most stable polymorph in this dataset = 6.59 kJ per mole of atoms
formation energy from the elements = -7 kJ per mole of atoms

=====

Crystalline LiZr2Tc at its relaxed geometry. Source: Alexandria, functional PBEsol.

abc: 6.536 6.536 6.536
angles: 90.00 90.00 90.00
Space group Fm-3m (No. 225)
Unique sites:
Li 0.000 0.000 0.000 [4 per cell]
Zr 0.250 0.250 0.250 [8 per cell]
Tc 0.000 0.000 0.500 [4 per cell]

Values from the calculation:
energy above the most stable polymorph in this dataset = 0.00 kJ per mole of atoms
formation energy from the elements = -14 kJ per mole of atoms

=====

Crystalline LiTe3 at its relaxed geometry. Source: Alexandria, functional PBEsol.

abc: 7.596 7.608 3.552
angles: 90.00 90.00 90.00
Space group Cmmm (No. 65)
Unique sites:
Li 0.000 0.000 0.000 [2 per cell]
Te 0.000 0.500 0.000 [2 per cell]
Te 0.250 0.250 0.500 [4 per cell]

Values from the calculation:
energy above the most stable polymorph in this dataset = 21.13 kJ per mole of atoms

=====

no.,density of states at the Fermi level (states/eV per atom),total magnetic moment (μB/cell)
1,0.397,0.001
2,0.440,1.042
3,1.186,2.985
4,1.272,0.020
5,1.621,1.812
6,0.850,0.000
7,0.833,0.001
8,0.644,0.002
9,0.585,0.001
10,0.955,0.318
11,0.628,0.000
12,0.604,3.242
13,0.828,0.001
14,0.690,8.756
15,0.795,0.000
16,0.956,0.000
17,0.683,0.000
18,1.074,0.000
19,0.856,0.000
20,0.804,0.000
21,0.662,0.000
22,0.948,0.001
23,0.664,0.001
24,0.904,0.000
25,0.684,0.001
26,0.584,0.001
27,0.711,0.000
28,0.820,0.000
29,0.754,0.000
30,0.837,0.000
31,0.576,0.000